TbY4Ho3S8: relaxed, GGA-PBE.

Structure (POSCAR):
```
TbY4Ho3S8
1.0
3.907 2.256 6.382
-3.907 2.256 6.382
0.000 -4.511 6.382
Tb Y Ho S
1 4 3 8
Cartesian
0.000 0.000 0.000
-3.907 0.000 9.574
-1.953 1.128 3.191
1.953 1.128 3.191
0.000 0.000 9.574
-1.953 -1.128 6.382
-1.953 1.128 12.765
0.000 2.256 6.382
0.000 -2.242 7.965
-1.942 1.121 7.965
0.000 0.000 4.809
-1.942 -1.121 11.182
1.942 1.121 7.965
0.000 0.000 14.338
1.942 -1.121 11.182
0.000 2.242 11.182
```

Computed properties:
Electronic total energy   -109.002 eV/f.u.